Here is a relaxed Be3RhW crystal from the Alexandria database. Energies are from PBE-GGA.

Cell: 4.184 4.184 4.184 Å, 90.00 90.00 90.00°
Atoms (fractional coordinates):
Be: 0.000 0.000 0.500
Be: 0.000 0.500 0.000
Be: 0.500 0.000 0.000
Rh: 0.500 0.500 0.500
W: 0.000 0.000 0.000

Formation energy from the elements   1.498 eV per atom
SG   Pm-3m (221)
Distance to the lowest polymorph of the same formula   0.776 eV per atom
Calculated volume   14.65 Å³ per atom
DOS(E_F)   0.803 states/eV per atom